(1)
This record from the Alexandria database describes Na3BiSe after structural relaxation. The functional is PBE.

Summary:
- ΔE_f (raw) (eV/atom) = -0.414
- electronic total energy (eV per atom) = -2.68
- SG = Pm-3m (221)

a = 5.535 Å, b = 5.535 Å, c = 5.535 Å
α = 90.00°, β = 90.00°, γ = 90.00°
Fractional positions:
Na: 0.000 0.000 0.500
Na: 0.000 0.500 0.000
Na: 0.500 0.000 0.000
Bi: 0.500 0.500 0.500
Se: 0.000 0.000 0.000



(2)
This record from the Alexandria database describes CdTeF2 after structural relaxation. The functional is PBE.

Summary:
- ΔE_f (raw) (eV/atom) = -0.775
- electronic total energy (eV per atom) = -2.72
- SG = Fm-3m (225)

a = 4.593 Å, b = 4.593 Å, c = 4.593 Å
α = 60.00°, β = 60.00°, γ = 60.00°
Fractional positions:
F: 0.250 0.250 0.250
F: 0.750 0.750 0.750
Cd: 0.000 0.000 0.000
Te: 0.500 0.500 0.500



(3)
This record from the Alexandria database describes Sc2ZnIr after structural relaxation. The functional is PBE.

Summary:
- energy of formation from the pure elements (eV per atom) = -0.112
- electronic total energy (eV per atom) = -5.81
- SG = R-3m (166)

a = 9.035 Å, b = 9.035 Å, c = 9.035 Å
α = 23.92°, β = 23.92°, γ = 23.92°
Fractional positions:
Ir: 0.500 0.500 0.500
Sc: 0.113 0.113 0.113
Sc: 0.887 0.887 0.887
Zn: 0.000 0.000 0.000



(4)
This record from the Alexandria database describes ZrZn2Se after structural relaxation. The functional is PBE.

Summary:
- ΔE_f (raw) (eV/atom) = -0.303
- electronic total energy (eV per atom) = -3.95
- SG = R3m (160)

a = 7.998 Å, b = 7.998 Å, c = 7.998 Å
α = 25.26°, β = 25.26°, γ = 25.26°
Fractional positions:
Se: 0.246 0.246 0.246
Zn: 0.005 0.005 0.005
Zn: 0.746 0.746 0.746
Zr: 0.503 0.503 0.503